No. 1
The following is a PBE-GGA calculation of a relaxed CaBi3C crystal, from Alexandria via LeMat-Bulk.

Cell: 5.1201 5.1201 5.1201 Å, 90.00 90.00 90.00°
Atoms (fractional coordinates):
1 C 0.0000 0.0000 0.0000
2 Bi 0.5000 0.0000 0.0000
3 Bi 0.0000 0.5000 0.0000
4 Bi 0.0000 0.0000 0.5000
5 Ca 0.5000 0.5000 0.5000

Output
Crystal system   cubic
Size of the total moment   0.0 μB per formula unit
Space group   Pm-3m
Offset from the most stable computed form   0 kJ/mol of formula units
Formation enthalpy at 0 K   0.582 eV per atom

No. 2
The following is a PBE-GGA calculation of a relaxed Ca2Er2Bi2C crystal, from Alexandria via LeMat-Bulk.

Cell: 4.8431 4.8431 8.8726 Å, 105.84 105.84 90.00°
Atoms (fractional coordinates):
1 Bi 0.6381 0.6381 0.2763
2 Bi 0.3619 0.3619 0.7237
3 Ca 0.8403 0.8403 0.6807
4 Ca 0.1597 0.1597 0.3193
5 Er 0.5000 0.0000 0.0000
6 Er 0.0000 0.5000 0.0000
7 C 0.0000 0.0000 0.0000

Output
Crystal system   tetragonal
Size of the total moment   0.0 μB per formula unit
Space group   I4/mmm
Formation enthalpy at 0 K   -0.757 eV per atom

No. 3
The following is a PBE-GGA calculation of a relaxed CaBiCF2 crystal, from Alexandria via LeMat-Bulk.

Cell: 4.1442 5.6345 4.1442 Å, 90.00 90.00 90.00°
Last column: magnetic moment on the atom in μB.
Atoms (fractional coordinates):
1 F 0.5000 0.0000 0.0000  -0.01
2 F 0.0000 0.0000 0.5000  0.00
3 Ca 0.0000 0.0000 0.0000  0.03
4 C 0.0000 0.5000 0.0000  0.59
5 Bi 0.5000 0.5000 0.5000  -0.23

Output
Crystal system   tetragonal
Size of the total moment   0.9 μB per formula unit
Raw formation energy   -920 meV per atom
Space group   P4/mmm

No. 4
The following is a PBE-GGA calculation of a relaxed CaBiCO4F crystal, from Alexandria via LeMat-Bulk.

Cell: 3.4735 4.5550 13.3631 Å, 90.00 90.00 90.00°
Atoms (fractional coordinates):
1 Ca 0.5000 0.5000 0.4051
2 Ca 0.0000 0.0000 0.5949
3 Bi 0.0000 0.0000 0.9037
4 Bi 0.5000 0.5000 0.0963
5 O 0.0000 0.2447 0.3079
6 O 0.5000 0.0000 0.0062
7 O 0.5000 0.2553 0.6921
8 O 0.5000 0.7447 0.6921
9 O 0.0000 0.5000 0.9938
10 O 0.0000 0.7553 0.3079
11 O 0.0000 0.0000 0.1624
12 O 0.5000 0.5000 0.8376
13 F 0.5000 0.0000 0.4812
14 F 0.0000 0.5000 0.5188
15 C 0.0000 0.0000 0.2617
16 C 0.5000 0.5000 0.7383

Output
Crystal system   orthorhombic
Size of the total moment   0.0 μB per formula unit
Raw formation energy   -1995 meV per atom
Space group   Pmmn
Offset from the most stable computed form   94 kJ/mol of formula units

No. 5
The following is a PBE-GGA calculation of a relaxed CaBiCO4F crystal, from Alexandria via LeMat-Bulk.

Cell: 5.4093 5.4166 13.8205 Å, 90.00 90.00 90.00°
Atoms (fractional coordinates):
1 F 0.7500 0.4868 0.5000
2 F 0.7500 0.9868 0.5000
3 F 0.2500 0.0132 0.5000
4 F 0.2500 0.5132 0.5000
5 Ca 0.5000 0.2500 0.4007
6 Ca 0.0000 0.7500 0.4007
7 Ca 0.5000 0.7500 0.5993
8 Ca 0.0000 0.2500 0.5993
9 O 0.1484 0.3968 0.3011
10 O 0.3516 0.8968 0.3011
11 O 0.8516 0.6032 0.6989
12 O 0.0000 0.7500 0.8395
13 O 0.2500 0.0024 0.0000
14 O 0.7500 0.4976 0.0000
15 O 0.8516 0.1032 0.3011
16 O 0.5000 0.2500 0.8395
17 O 0.2500 0.5024 0.0000
18 O 0.1484 0.8968 0.6989
19 O 0.6484 0.6032 0.3011
20 O 0.7500 0.9976 0.0000
21 O 0.3516 0.3968 0.6989
22 O 0.6484 0.1032 0.6989
23 O 0.0000 0.2500 0.1605
24 O 0.5000 0.7500 0.1605
25 Bi 0.0000 0.2500 0.9060
26 Bi 0.5000 0.2500 0.0940
27 Bi 0.5000 0.7500 0.9060
28 Bi 0.0000 0.7500 0.0940
29 C 0.0000 0.7500 0.7433
30 C 0.0000 0.2500 0.2567
31 C 0.5000 0.7500 0.2567
32 C 0.5000 0.2500 0.7433

Output
Crystal system   orthorhombic
Size of the total moment   0.0 μB per formula unit
Raw formation energy   -2117 meV per atom
Space group   Pcca
Offset from the most stable computed form   0 kJ/mol of formula units

No. 6
The following is a PBE-GGA calculation of a relaxed CaHgBiC2 crystal, from Alexandria via LeMat-Bulk.

Cell: 4.6237 5.5323 4.6237 Å, 90.00 90.00 90.00°
Last column: magnetic moment on the atom in μB.
Atoms (fractional coordinates):
1 C 0.5000 0.0000 0.0000  0.25
2 C 0.0000 0.0000 0.5000  0.40
3 Hg 0.0000 0.5000 0.0000  0.00
4 Bi 0.5000 0.5000 0.5000  -0.15
5 Ca 0.0000 0.0000 0.0000  0.06

Output
Crystal system   tetragonal
Size of the total moment   1.2 μB per formula unit
Space group   P4/mmm
Formation enthalpy at 0 K   2.122 eV per atom

- What is the size of the total moment in the fourth record?
  0.0 μB per formula unit